# Sc4HgPt PBE-GGA relaxed
# calculated total energy = -5.740 eV per atom
# energy of formation from the pure elements = -462 meV per atom
# density = 6.6 g cm⁻³
# DOS at the Fermi energy = 7.24 states/eV per cell
# ΔE to the lowest computed polymorph = 0 meV per atom
data_Sc4HgPt
_chemical_formula_sum 'Sc4 Hg1 Pt1'
_space_group_name_H-M_alt 'P 1'
_space_group_IT_number 1
_space_group_name_Hall 'P 1'
_cell_length_a 4.629
_cell_length_b 4.629
_cell_length_c 6.764
_cell_angle_alpha 90.00
_cell_angle_beta 90.00
_cell_angle_gamma 90.00
loop_
_atom_site_label
_atom_site_type_symbol
_atom_site_fract_x
_atom_site_fract_y
_atom_site_fract_z
Sc1 Sc 0.000 0.500 0.232
Sc2 Sc 0.000 0.500 0.768
Sc3 Sc 0.500 0.000 0.232
Sc4 Sc 0.500 0.000 0.768
Hg1 Hg 0.000 0.000 0.500
Pt1 Pt 0.500 0.500 0.000

# Dy4Ga6Ir7 PBE-GGA relaxed
# calculated total energy = -6.565 eV per atom
# energy of formation from the pure elements = -765 meV per atom
# density = 13.4 g cm⁻³
# DOS at the Fermi energy = 7.67 states/eV per cell
data_Dy4Ga6Ir7
_chemical_formula_sum 'Dy4 Ga6 Ir7'
_space_group_name_H-M_alt 'P 1'
_space_group_IT_number 1
_space_group_name_Hall 'P 1'
_cell_length_a 7.289
_cell_length_b 7.289
_cell_length_c 7.289
_cell_angle_alpha 109.47
_cell_angle_beta 109.47
_cell_angle_gamma 109.47
loop_
_atom_site_label
_atom_site_type_symbol
_atom_site_fract_x
_atom_site_fract_y
_atom_site_fract_z
Dy1 Dy 0.000 0.000 0.500
Dy2 Dy 0.000 0.500 0.000
Dy3 Dy 0.500 0.000 0.000
Dy4 Dy 0.500 0.500 0.500
Ga1 Ga 0.000 0.313 0.313
Ga2 Ga 0.000 0.687 0.687
Ga3 Ga 0.313 0.000 0.313
Ga4 Ga 0.313 0.313 0.000
Ga5 Ga 0.687 0.000 0.687
Ga6 Ga 0.687 0.687 0.000
Ir1 Ir 0.000 0.000 0.000
Ir2 Ir 0.250 0.500 0.750
Ir3 Ir 0.250 0.750 0.500
Ir4 Ir 0.500 0.250 0.750
Ir5 Ir 0.500 0.750 0.250
Ir6 Ir 0.750 0.250 0.500
Ir7 Ir 0.750 0.500 0.250

# CaInAsSe2 PBE-GGA relaxed
# formation energy from raw total energies = 0.076 eV per atom
# calculated total energy = -3.196 eV per atom
# density = 3.7 g cm⁻³
# DOS at the Fermi energy = 7.61 states/eV per cell
# ΔE to the lowest computed polymorph = 247 meV per atom
data_CaInAsSe2
_chemical_formula_sum 'Ca1 In1 As1 Se2'
_space_group_name_H-M_alt 'P 1'
_space_group_IT_number 1
_space_group_name_Hall 'P 1'
_cell_length_a 5.566
_cell_length_b 5.566
_cell_length_c 5.618
_cell_angle_alpha 90.00
_cell_angle_beta 90.00
_cell_angle_gamma 90.00
loop_
_atom_site_label
_atom_site_type_symbol
_atom_site_fract_x
_atom_site_fract_y
_atom_site_fract_z
Ca1 Ca 0.000 0.000 0.000
In1 In 0.500 0.500 0.500
As1 As 0.000 0.000 0.500
Se1 Se 0.000 0.500 0.000
Se2 Se 0.500 0.000 0.000

# Hg2RhCl PBE-GGA relaxed
# formation energy from raw total energies = 0.140 eV per atom
# calculated total energy = -2.310 eV per atom
# density = 10.0 g cm⁻³
# DOS at the Fermi energy = 3.12 states/eV per cell
# ΔE to the lowest computed polymorph = 136 meV per atom
data_Hg2RhCl
_chemical_formula_sum 'Hg2 Rh1 Cl1'
_space_group_name_H-M_alt 'P 1'
_space_group_IT_number 1
_space_group_name_Hall 'P 1'
_cell_length_a 3.318
_cell_length_b 3.318
_cell_length_c 9.527
_cell_angle_alpha 90.00
_cell_angle_beta 90.00
_cell_angle_gamma 121.30
loop_
_atom_site_label
_atom_site_type_symbol
_atom_site_fract_x
_atom_site_fract_y
_atom_site_fract_z
Hg1 Hg 0.000 0.000 0.000
Hg2 Hg 0.500 0.500 0.285
Rh1 Rh 0.000 0.000 0.517
Cl1 Cl 0.500 0.500 0.690

# Rb3YBi2O6 PBE-GGA relaxed
# formation energy from raw total energies = -1.743 eV per atom
# calculated total energy = -5.649 eV per atom
# density = 6.4 g cm⁻³
# DOS at the Fermi energy = 0.00 states/eV per cell
data_Rb3YBi2O6
_chemical_formula_sum 'Rb3 Y1 Bi2 O6'
_space_group_name_H-M_alt 'P 1'
_space_group_IT_number 1
_space_group_name_Hall 'P 1'
_cell_length_a 6.255
_cell_length_b 6.255
_cell_length_c 6.900
_cell_angle_alpha 98.69
_cell_angle_beta 98.69
_cell_angle_gamma 119.99
loop_
_atom_site_label
_atom_site_type_symbol
_atom_site_fract_x
_atom_site_fract_y
_atom_site_fract_z
Rb1 Rb 0.000 0.000 0.000
Rb2 Rb 0.331 0.669 0.000
Rb3 Rb 0.669 0.331 0.000
Y1 Y 0.500 0.500 0.500
Bi1 Bi 0.167 0.833 0.500
Bi2 Bi 0.833 0.167 0.500
O1 O 0.119 0.438 0.315
O2 O 0.242 0.242 0.686
O3 O 0.438 0.119 0.315
O4 O 0.562 0.881 0.685
O5 O 0.758 0.758 0.314
O6 O 0.881 0.562 0.685

# CsSnOs2 PBE-GGA relaxed
# calculated total energy = -5.589 eV per atom
# energy of formation from the pure elements = 1240 meV per atom
# density = 9.0 g cm⁻³
# DOS at the Fermi energy = 5.75 states/eV per cell
data_CsSnOs2
_chemical_formula_sum 'Cs2 Sn2 Os4'
_space_group_name_H-M_alt 'P 1'
_space_group_IT_number 1
_space_group_name_Hall 'P 1'
_cell_length_a 10.051
_cell_length_b 10.051
_cell_length_c 10.051
_cell_angle_alpha 151.32
_cell_angle_beta 151.32
_cell_angle_gamma 41.01
loop_
_atom_site_label
_atom_site_type_symbol
_atom_site_fract_x
_atom_site_fract_y
_atom_site_fract_z
Cs1 Cs 0.000 0.000 0.000
Cs2 Cs 0.750 0.250 0.500
Sn1 Sn 0.250 0.750 0.500
Sn2 Sn 0.500 0.500 0.000
Os1 Os 0.334 0.625 0.209
Os2 Os 0.375 0.584 0.709
Os3 Os 0.416 0.125 0.791
Os4 Os 0.875 0.666 0.291